[1]
A relaxed structure of Ca2Ni, computed with PBE.

Lattice parameters (Å, degrees): 3.9576 3.9576 6.6668 90.00 90.00 120.00
Closest atoms and distances in Å follow each position.
Sites, in units of the cell vectors:
Ca (0.3333, 0.6667, 0.2397)  3 Ni 2.79
Ca (0.6667, 0.3333, 0.7603)  3 Ni 2.79
Ni (0.0000, 0.0000, 0.0000)  6 Ca 2.79

Calculated values
energy relative to the elements = 0.1 eV/f.u.
energy = -3.230 eV per atom



[2]
A relaxed structure of CsHoI2, computed with PBE.

Lattice parameters (Å, degrees): 12.0543 12.0543 12.0543 20.35 20.35 20.35
Closest atoms and distances in Å follow each position.
Sites, in units of the cell vectors:
Cs (0.0000, 0.0000, 0.0000)  2 I 3.99, 6 Cs 4.26
Ho (0.5000, 0.5000, 0.5000)  6 I 3.11
I (0.1128, 0.1128, 0.1128)  3 Ho 3.11
I (0.8872, 0.8872, 0.8872)  3 Ho 3.11

Calculated values
E_form (uncorrected) = -0.791 eV per atom
energy = -2.923 eV per atom



[3]
A relaxed structure of Sr4MgZn3, computed with PBE.

Lattice parameters (Å, degrees): 4.6933 4.7594 12.1022 90.00 90.00 90.00
Closest atoms and distances in Å follow each position.
Sites, in units of the cell vectors:
Sr (0.0000, 0.0000, 0.0000)  5 Zn 3.48-3.50, 2 Mg 3.50
Sr (0.0000, 0.5000, 0.4806)  6 Zn 3.33-3.48, 1 Mg 3.72
Sr (0.5000, 0.0000, 0.6957)  4 Mg 3.52, 3 Zn 3.55-3.58
Sr (0.5000, 0.5000, 0.2043)  7 Zn 3.36-3.51
Mg (0.0000, 0.5000, 0.7880)  2 Zn 2.80
Zn (0.0000, 0.0000, 0.2879)  2 Zn 2.71
Zn (0.5000, 0.0000, 0.3999)  2 Zn 2.71
Zn (0.5000, 0.5000, 0.9139)  2 Mg 2.80

Calculated values
energy relative to the elements = -1.2 eV/f.u.
offset from the most stable computed form = 0.00 eV/f.u.
energy = -1.664 eV per atom



[4]
A relaxed structure of RbHg3Bi, computed with PBE.

Lattice parameters (Å, degrees): 7.2244 7.2244 7.2244 137.21 137.21 62.12
Closest atoms and distances in Å follow each position.
Sites, in units of the cell vectors:
Rb (0.0000, 0.0000, 0.0000)  12 Hg 3.98-4.15, 4 Bi 4.04
Hg (0.2412, 0.7412, 0.5000)  2 Hg 3.06, 2 Bi 3.11
Hg (0.6150, 0.6150, 0.0000)  1 Bi 2.98, 4 Hg 3.06
Hg (0.7412, 0.2412, 0.5000)  2 Hg 3.06, 2 Bi 3.11
Bi (0.3745, 0.3745, 0.0000)  5 Hg 2.98-3.11

Calculated values
energy relative to the elements = -0.9 eV/f.u.
offset from the most stable computed form = 0.06 eV/f.u.
energy = -1.325 eV per atom



[5]
A relaxed structure of Pr6Sb2Se3Br, computed with PBE.

Lattice parameters (Å, degrees): 9.8519 9.8519 8.7999 103.49 103.49 25.72
Closest atoms and distances in Å follow each position.
Sites, in units of the cell vectors:
Pr (0.0034, 0.0034, 0.2238)  3 Se 2.94-3.00, 1 Sb 3.14, 2 Br 3.29
Pr (0.3224, 0.3224, 0.4212)  3 Se 2.95-3.04, 2 Sb 3.16
Pr (0.3352, 0.3352, 0.9088)  3 Se 3.06-3.07, 3 Sb 3.18-3.19
Pr (0.6648, 0.6648, 0.0912)  3 Se 3.06-3.07, 3 Sb 3.18-3.19
Pr (0.6776, 0.6776, 0.5788)  3 Se 2.95-3.04, 2 Sb 3.16
Pr (0.9966, 0.9966, 0.7762)  3 Se 2.94-3.00, 1 Sb 3.14, 2 Br 3.29
Sb (0.1640, 0.1640, 0.8283)  6 Pr 3.14-3.19
Sb (0.8360, 0.8360, 0.1717)  6 Pr 3.14-3.19
Se (0.1640, 0.1640, 0.3336)  6 Pr 2.95-3.06
Se (0.5000, 0.5000, 0.0000)  6 Pr 2.94-3.07
Se (0.8360, 0.8360, 0.6664)  6 Pr 2.95-3.06
Br (0.5000, 0.5000, 0.5000)  6 Pr 3.29-3.32

Calculated values
E_form (uncorrected) = -1.528 eV per atom
energy = -5.615 eV per atom



[6]
A relaxed structure of LaBeRh2Au, computed with PBE.

Lattice parameters (Å, degrees): 4.4436 4.4436 4.3904 90.00 90.00 90.00
Closest atoms and distances in Å follow each position.
Sites, in units of the cell vectors:
La (0.0000, 0.0000, 0.0000)  8 Rh 3.12, 4 Au 3.14
Be (0.5000, 0.5000, 0.5000)  2 Au 2.20, 4 Rh 2.22
Rh (0.0000, 0.5000, 0.5000)  2 Be 2.22
Rh (0.5000, 0.0000, 0.5000)  2 Be 2.22
Au (0.5000, 0.5000, 0.0000)  2 Be 2.20

Calculated values
energy relative to the elements = -2.8 eV/f.u.
energy = -5.895 eV per atom



[7]
A relaxed structure of Cd2CoH, computed with PBE.

Lattice parameters (Å, degrees): 5.3534 5.3534 5.3534 104.75 104.75 119.39
Closest atoms and distances in Å follow each position.
Sites, in units of the cell vectors:
Cd (0.0584, 0.6250, 0.9334)  2 H 2.14
Cd (0.3750, 0.3084, 0.4334)  2 H 2.14
Cd (0.6916, 0.1250, 0.0666)  2 H 2.14
Cd (0.8750, 0.9416, 0.5666)  2 H 2.14
Co (0.2500, 0.7500, 0.5000)  2 H 2.70, 8 Cd 2.72-2.87
Co (0.5000, 0.5000, 0.0000)  2 H 2.70, 8 Cd 2.72-2.87
H (0.0000, 0.0000, 0.0000)  4 Cd 2.14
H (0.7500, 0.2500, 0.5000)  4 Cd 2.14

Calculated values
offset from the most stable computed form = 0.00 eV/f.u.
energy = -2.484 eV per atom



[8]
A relaxed structure of NiBiAs2, computed with PBE.

Lattice parameters (Å, degrees): 6.9395 6.9395 6.9395 32.03 32.03 32.03
Closest atoms and distances in Å follow each position.
Sites, in units of the cell vectors:
Ni (0.0000, 0.0000, 0.0000)  6 As 2.39-2.47
Bi (0.1549, 0.1549, 0.1549)  1 Ni 3.06, 6 As 3.08-3.28
As (0.3792, 0.3792, 0.3792)  3 Ni 2.39
As (0.6107, 0.6107, 0.6107)  3 Ni 2.47

Calculated values
energy relative to the elements = -0.1 eV/f.u.
energy = -4.770 eV per atom



Number 1: magnetic moment 0.0 μB/cell. Number 2: magnetic moment 0.2 μB/cell. Number 3: magnetic moment 0.0 μB/cell. Number 4: magnetic moment 0.0 μB/cell. Number 5: magnetic moment 0.0 μB/cell. Number 6: magnetic moment 0.0 μB/cell. Number 7: magnetic moment 1.4 μB/cell. Number 8: magnetic moment 0.0 μB/cell.